CeInGaRh, optimized geometry, DFT GGA-PBE; calculated formation energy = -0.485 eV/atom; total DFT energy (no corrections) = -5.248 eV/atom; total magnetization = 0.0 μB per formula unit
1.0
-0.071 -3.517 -3.344
4.159 -1.620 -1.907
1.613 -4.440 1.113
Rh Ga Ce In
1 1 1 1
direct
0.250 0.250 0.250 Rh
0.750 0.750 0.750 Ga
0.000 0.000 0.000 Ce
0.500 0.500 0.500 In